# AlTl2CrO4, relaxed, DFT GGA+U
# Crystal system: orthorhombic
# Magnetic moment in μB per cell: 6.000
# E in eV per atom: -5.9639
data_AlTl2CrO4
_chemical_formula_sum 'Al2 Tl4 Cr2 O8'
_cell_length_a 11.638
_cell_length_b 10.409
_cell_length_c 6.421
_cell_angle_alpha 83.93
_cell_angle_beta 62.80
_cell_angle_gamma 33.27
_space_group_name_H-M_alt 'P 1'
_space_group_IT_number 1
_space_group_name_Hall 'P 1'
loop_
_atom_site_label
_atom_site_fract_x
_atom_site_fract_y
_atom_site_fract_z
Al1 0.125 0.125 0.125
Al2 0.875 0.875 0.875
Tl1 0.191 0.191 0.559
Tl2 0.441 0.441 0.809
Tl3 0.559 0.559 0.191
Tl4 0.809 0.809 0.441
Cr1 0.375 0.375 0.375
Cr2 0.625 0.625 0.625
O1 0.056 0.769 0.515
O2 0.160 0.515 0.769
O3 0.231 0.944 0.840
O4 0.485 0.840 0.944
O5 0.515 0.160 0.056
O6 0.769 0.056 0.160
O7 0.840 0.485 0.231
O8 0.944 0.231 0.485